Record 1
Entry from Alexandria via LeMat-Bulk: an optimized crystal structure of Pr2InPd2 (PBE).

Total magnetic moment (μB/f.u.): 0.00
ΔH_f (0 K) (eV/atom): -0.79
Density of states at the Fermi level (states/eV/f.u.): 2.97
Volume (Å³/atom): 24.53
E_tot (eV/atom): -5.33

Unit cell a=7.9104 b=7.9104 c=3.9202 alpha=90.00 beta=90.00 gamma=90.00
Space group P4/mbm (No. 127)
One atom of each set of equivalent atoms:
Pr  0.1757  0.3243  0.0000 x4
In  0.0000  0.0000  0.5000 x2
Pd  0.1269  0.6269  0.5000 x4

Record 2
Entry from Alexandria via LeMat-Bulk: an optimized crystal structure of PrIn4Pd15 (PBE).

Total magnetic moment (μB/f.u.): 0.00
ΔH_f (0 K) (eV/atom): -0.49
Density of states at the Fermi level (states/eV/f.u.): 16.81
Volume (Å³/atom): 16.94
E_tot (eV/atom): -5.17

Unit cell a=4.1049 b=4.1049 c=20.1118 alpha=90.00 beta=90.00 gamma=90.00
Space group P4/mmm (No. 123)
One atom of each set of equivalent atoms:
Pr  0.0000  0.0000  0.0000 x1
In  0.0000  0.0000  0.2072 x2
In  0.0000  0.0000  0.4020 x2
Pd  0.0000  0.5000  0.1085 x4
Pd  0.0000  0.5000  0.3043 x4
Pd  0.0000  0.5000  0.5000 x2
Pd  0.5000  0.5000  0.0000 x1
Pd  0.5000  0.5000  0.2054 x2
Pd  0.5000  0.5000  0.4023 x2

Record 3
Entry from Alexandria via LeMat-Bulk: an optimized crystal structure of PrIn9Pd2 (PBE).

Total magnetic moment (μB/f.u.): 0.00
ΔH_f (0 K) (eV/atom): -0.21
Density of states at the Fermi level (states/eV/f.u.): 4.97
Volume (Å³/atom): 24.30
E_tot (eV/atom): -3.52

Unit cell a=12.7134 b=12.7134 c=7.2154 alpha=90.00 beta=90.00 gamma=90.00
Space group I4_1/amd (No. 141, origin choice 2)
One atom of each set of equivalent atoms:
Pr  0.0000  0.2500  0.3750 x4
In  0.0000  0.2500  0.8750 x4
In  0.1208  0.0684  0.6689 x32
Pd  0.0000  0.0000  0.0000 x8

> The highest density of states at the Fermi level belongs to which entry?

PrIn4Pd15